1.
Compound: CaBi2Pt2
Source: the Alexandria database
Functional: PBE
Structure: optimized geometry

a = 7.6627 Å, b = 7.6627 Å, c = 4.0248 Å
α = 90.00°, β = 90.00°, γ = 90.00°
With the nearest neighbours (Å) after each atom.
Element x y z (fractional)
Ca  0.0000  0.0000  0.0000  4 Pt 3.01
Ca  0.5000  0.5000  0.0000  4 Pt 3.01
Bi  0.1696  0.3304  0.5000  6 Pt 2.96-3.07
Bi  0.3304  0.8304  0.5000  6 Pt 2.96-3.07
Bi  0.6696  0.1696  0.5000  6 Pt 2.96-3.07
Bi  0.8304  0.6696  0.5000  6 Pt 2.96-3.07
Pt  0.1299  0.6299  0.0000  1 Pt 2.81, 6 Bi 2.96-3.07, 2 Ca 3.01
Pt  0.3701  0.1299  0.0000  1 Pt 2.81, 6 Bi 2.96-3.07, 2 Ca 3.01
Pt  0.6299  0.8701  0.0000  1 Pt 2.81, 6 Bi 2.96-3.07, 2 Ca 3.01
Pt  0.8701  0.3701  0.0000  1 Pt 2.81, 6 Bi 2.96-3.07, 2 Ca 3.01

Energy of formation from the pure elements ... -2.20 eV per formula unit
Uncorrected energy ... -48.09 eV for the cell shown

***

2.
Compound: PmDyCuRu
Source: the Alexandria database
Functional: PBE
Structure: optimized geometry

a = 4.3060 Å, b = 5.6269 Å, c = 5.6269 Å
α = 40.32°, β = 90.00°, γ = 90.00°
With the nearest neighbours (Å) after each atom.
Element x y z (fractional)
Pm  0.0000  0.0000  0.0000  3 Ru 2.94-3.04, 4 Cu 3.00
Dy  0.5000  0.2816  0.2816  3 Cu 2.93-3.08, 4 Ru 2.97
Cu  0.5000  0.5732  0.5732  2 Ru 2.66, 2 Dy 2.93
Ru  0.0000  0.7215  0.7215  2 Cu 2.66, 1 Pm 2.94, 4 Dy 2.97

Energy of formation from the pure elements ... -1.01 eV per formula unit
Distance to the lowest polymorph of the same formula ... 7 meV/atom
Uncorrected energy ... -23.74 eV for the cell shown

***

3.
Compound: LaBe3Pt
Source: the Alexandria database
Functional: PBE
Structure: optimized geometry

a = 4.4139 Å, b = 5.3030 Å, c = 7.3654 Å
α = 69.30°, β = 86.90°, γ = 80.40°
With the nearest neighbours (Å) after each atom.
Element x y z (fractional)
La  0.2040  0.1948  0.1216  7 Be 2.96-3.29, 3 Pt 3.04-3.25
La  0.7960  0.8052  0.8784  7 Be 2.96-3.29, 3 Pt 3.04-3.25
Be  0.0098  0.5908  0.3355  5 Be 2.21-2.41, 2 Pt 2.23-2.27
Be  0.1821  0.7948  0.5210  6 Be 2.19-2.41, 1 Pt 2.34
Be  0.3294  0.1768  0.5264  6 Be 2.19-2.41, 1 Pt 2.37
Be  0.6706  0.8232  0.4736  6 Be 2.19-2.41, 1 Pt 2.37
Be  0.8179  0.2052  0.4790  6 Be 2.19-2.41, 1 Pt 2.34
Be  0.9902  0.4092  0.6645  5 Be 2.21-2.41, 2 Pt 2.23-2.27
Pt  0.4911  0.4016  0.7224  4 Be 2.23-2.37
Pt  0.5089  0.5984  0.2776  4 Be 2.23-2.37

Energy of formation from the pure elements ... -2.12 eV per formula unit
Distance to the lowest polymorph of the same formula ... 68 meV/atom
Uncorrected energy ... -48.53 eV for the cell shown